1.
A plane-wave DFT calculation with PBE was carried out for a relaxed structure of Th3Sc.

Values from the calculation:
The crystal system is cubic. The density of states at the Fermi level is 27.66 states/eV/cell. The value obtained for the formation energy is 0.166 eV per atom. The calculation puts the theoretical density at 10034 kg/m3. Its energy above the lowest structure with this stoichiometry is 0.140 eV per atom.

a = 7.8867 Å, b = 7.8867 Å, c = 7.8867 Å
α = 90.00°, β = 90.00°, γ = 90.00°
Last column: nearest neighbours and their distance in Å.
Space group Fm-3m (No. 225)
Symmetry-distinct sites (fractional):
Th (0.0000, 0.0000, 0.0000)  8 Th 3.42
Th (0.2500, 0.2500, 0.2500)  4 Th 3.42, 4 Sc 3.42
Sc (0.0000, 0.0000, 0.5000)  8 Th 3.42

2.
A plane-wave DFT calculation with PBE was carried out for a relaxed structure of Th3Sc7.

Values from the calculation:
The crystal system is monoclinic. The density of states at the Fermi level is 30.98 states/eV/cell. The value obtained for the formation energy is 0.063 eV per atom. The calculation puts the theoretical density at 6292 kg/m3.

a = 15.6746 Å, b = 5.3914 Å, c = 6.5228 Å
α = 90.00°, β = 104.55°, γ = 90.00°
Last column: nearest neighbours and their distance in Å.
Space group C2/m (No. 12)
Symmetry-distinct sites (fractional):
Th (0.0000, 0.0000, 0.0000)  8 Sc 3.26-3.31
Th (0.2017, 0.0000, 0.7971)  8 Sc 3.19-3.33
Sc (0.0000, 0.0000, 0.5000)  4 Th 3.26-3.27, 4 Sc 3.30
Sc (0.0980, 0.5000, 0.8797)  3 Sc 3.16-3.29, 5 Th 3.26-3.31
Sc (0.1009, 0.5000, 0.3854)  8 Sc 3.16-3.30
Sc (0.2026, 0.0000, 0.3089)  5 Th 3.19-3.33, 3 Sc 3.22-3.23

3.
A plane-wave DFT calculation with PBE was carried out for a relaxed structure of Th4Sc5.

Values from the calculation:
The crystal system is hexagonal. The density of states at the Fermi level is 29.62 states/eV/cell. The value obtained for the formation energy is 0.122 eV per atom. The calculation puts the theoretical density at 7536 kg/m3. Its energy above the lowest structure with this stoichiometry is 0.077 eV per atom.

a = 9.3705 Å, b = 9.3705 Å, c = 6.6814 Å
α = 90.00°, β = 90.00°, γ = 120.00°
Last column: nearest neighbours and their distance in Å.
Space group P6_3/mcm (No. 193)
Symmetry-distinct sites (fractional):
Th (0.0000, 0.0000, 0.0000)  8 Th 3.34-3.69, 6 Sc 3.45
Th (0.0000, 0.3515, 0.2500)  5 Sc 3.05-3.35
Sc (0.0000, 0.3225, 0.7500)  5 Th 3.05-3.35
Sc (0.3333, 0.6667, 0.0000)  8 Sc 3.34-3.59, 6 Th 3.47

4.
A plane-wave DFT calculation with PBE was carried out for a relaxed structure of Th5Sc6.

Values from the calculation:
The crystal system is monoclinic. The density of states at the Fermi level is 32.33 states/eV/cell. The value obtained for the formation energy is 0.131 eV per atom. The calculation puts the theoretical density at 7533 kg/m3. Its energy above the lowest structure with this stoichiometry is 0.000 eV per atom.

a = 9.5828 Å, b = 13.0224 Å, c = 5.8934 Å
α = 90.00°, β = 121.00°, γ = 90.00°
Last column: nearest neighbours and their distance in Å.
Space group C2/m (No. 12)
Symmetry-distinct sites (fractional):
Th (0.0000, 0.0000, 0.0000)  6 Sc 3.23-3.30, 6 Th 3.45-3.48
Th (0.0000, 0.1379, 0.5000)  6 Sc 3.34-3.46, 5 Th 3.39-3.59
Th (0.0000, 0.2670, 0.0000)  6 Sc 3.24-3.40, 3 Th 3.39-3.48
Sc (0.1739, 0.5000, 0.0553)  3 Sc 3.05-3.28, 5 Th 3.30-3.40
Sc (0.1789, 0.3758, 0.5761)  3 Sc 3.06-3.28, 4 Th 3.23-3.35

Question: What is the theoretical density in the third record?
Answer: 7536 kg/m3